[1]
# GGA-PBE Hg2SbOs, optimized geometry
data_Hg2SbOs
_chemical_formula_sum 'Hg4 Sb2 Os2'
_cell_length_a 3.0939
_cell_length_b 4.6965
_cell_length_c 13.1279
_cell_angle_alpha 90.00
_cell_angle_beta 90.00
_cell_angle_gamma 90.00
_space_group_name_H-M_alt 'I m m 2'
_space_group_IT_number 44
loop_
_space_group_symop_operation_xyz
'x,y,z'
'-x,-y,z'
'-x,y,z'
'x,-y,z'
'x+1/2,y+1/2,z+1/2'
'-x+1/2,-y+1/2,z+1/2'
'-x+1/2,y+1/2,z+1/2'
'x+1/2,-y+1/2,z+1/2'
loop_
_atom_site_label
_atom_site_fract_x
_atom_site_fract_y
_atom_site_fract_z
Hg1 0.0000 0.0000 0.0000
Hg2 0.0000 0.5000 0.1706
Sb1 0.0000 0.0000 0.3509
Os1 0.0000 0.5000 0.6891
# Formation energy from raw total energies = 0.466 eV per atom
# Theoretical density = 12.42 Mg/m³

[2]
# GGA-PBE BaAlZnGa2, optimized geometry
data_BaAlZnGa2
_chemical_formula_sum 'Ba2 Al2 Zn2 Ga4'
_cell_length_a 4.5187
_cell_length_b 4.5187
_cell_length_c 11.1140
_cell_angle_alpha 90.00
_cell_angle_beta 90.00
_cell_angle_gamma 90.00
_space_group_name_H-M_alt 'I -4 m 2'
_space_group_IT_number 119
_space_group_name_Hall 'I -4 -2'
loop_
_atom_site_label
_atom_site_fract_x
_atom_site_fract_y
_atom_site_fract_z
Ba1 0.0000 0.0000 0.0000
Al1 0.0000 0.5000 0.2500
Zn1 0.0000 0.5000 0.7500
Ga1 0.0000 0.0000 0.3800
# Calculated formation energy = -366 meV/atom
# Theoretical density = 5.40 Mg/m³

[3]
# GGA-PBE Sr2CdBi4Rh3, optimized geometry
data_Sr2CdBi4Rh3
_chemical_formula_sum 'Sr2 Cd1 Bi4 Rh3'
_cell_length_a 4.7921
_cell_length_b 4.7921
_cell_length_c 11.3840
_cell_angle_alpha 90.00
_cell_angle_beta 90.00
_cell_angle_gamma 90.00
_space_group_name_H-M_alt 'P -4 m 2'
_space_group_IT_number 115
loop_
_space_group_symop_operation_xyz
'x,y,z'
'y,-x,-z'
'-x,-y,z'
'-y,x,-z'
'-x,y,z'
'-y,-x,-z'
'x,-y,z'
'y,x,-z'
loop_
_atom_site_label
_atom_site_fract_x
_atom_site_fract_y
_atom_site_fract_z
Sr1 0.0000 0.5000 0.2491
Cd1 0.0000 0.0000 0.5000
Bi1 0.0000 0.0000 0.0000
Bi2 0.0000 0.5000 0.6443
Bi3 0.5000 0.5000 0.0000
Rh1 0.0000 0.5000 0.8803
Rh2 0.5000 0.5000 0.5000
# Calculated formation energy = -369 meV/atom
# Theoretical density = 9.10 Mg/m³

[4]
# GGA-PBE MgAl2Pt2, optimized geometry
data_MgAl2Pt2
_chemical_formula_sum 'Mg2 Al4 Pt4'
_cell_length_a 4.0732
_cell_length_b 4.0732
_cell_length_c 10.8026
_cell_angle_alpha 90.00
_cell_angle_beta 90.00
_cell_angle_gamma 90.00
_space_group_name_H-M_alt 'I 4/m m m'
_space_group_IT_number 139
_space_group_name_Hall '-I 4 2'
loop_
_atom_site_label
_atom_site_fract_x
_atom_site_fract_y
_atom_site_fract_z
Mg1 0.0000 0.0000 0.0000
Al1 0.0000 0.0000 0.3830
Pt1 0.0000 0.5000 0.2500
# Calculated formation energy = -628 meV/atom
# Energy above the most stable polymorph in this dataset = 259.7 meV per atom
# Theoretical density = 8.68 Mg/m³

[5]
# GGA-PBE CrSe3, optimized geometry
data_CrSe3
_chemical_formula_sum 'Cr1 Se3'
_cell_length_a 2.8830
_cell_length_b 2.8830
_cell_length_c 10.1850
_cell_angle_alpha 90.00
_cell_angle_beta 90.00
_cell_angle_gamma 90.00
_space_group_name_H-M_alt 'P 4/m m m'
_space_group_IT_number 123
_space_group_name_Hall '-P 4 2'
loop_
_atom_site_label
_atom_site_fract_x
_atom_site_fract_y
_atom_site_fract_z
Cr1 0.0000 0.0000 0.0000
Se1 0.0000 0.0000 0.5000
Se2 0.5000 0.5000 0.1500
# Formation energy from raw total energies = -0.013 eV per atom
# Theoretical density = 5.67 Mg/m³

[6]
# GGA-PBE BaTcNiAs2, optimized geometry
data_BaTcNiAs2
_chemical_formula_sum 'Ba2 Tc2 Ni2 As4'
_cell_length_a 4.0287
_cell_length_b 4.0287
_cell_length_c 13.1767
_cell_angle_alpha 90.00
_cell_angle_beta 90.00
_cell_angle_gamma 90.00
_space_group_name_H-M_alt 'I -4 m 2'
_space_group_IT_number 119
_space_group_name_Hall 'I -4 -2'
loop_
_atom_site_label
_atom_site_fract_x
_atom_site_fract_y
_atom_site_fract_z
Ba1 0.0000 0.0000 0.0000
Tc1 0.0000 0.5000 0.2500
Ni1 0.0000 0.5000 0.7500
As1 0.0000 0.0000 0.3529
# Calculated formation energy = -633 meV/atom
# Theoretical density = 6.89 Mg/m³

[7]
# GGA-PBE Mn2ReCl, optimized geometry
data_Mn2ReCl
_chemical_formula_sum 'Mn4 Re2 Cl2'
_cell_length_a 2.8306
_cell_length_b 3.5622
_cell_length_c 13.1613
_cell_angle_alpha 90.00
_cell_angle_beta 90.00
_cell_angle_gamma 90.00
_space_group_name_H-M_alt 'I m m 2'
_space_group_IT_number 44
loop_
_space_group_symop_operation_xyz
'x,y,z'
'-x,-y,z'
'-x,y,z'
'x,-y,z'
'x+1/2,y+1/2,z+1/2'
'-x+1/2,-y+1/2,z+1/2'
'-x+1/2,y+1/2,z+1/2'
'x+1/2,-y+1/2,z+1/2'
loop_
_atom_site_label
_atom_site_fract_x
_atom_site_fract_y
_atom_site_fract_z
Mn1 0.0000 0.0000 0.0000
Mn2 0.0000 0.5000 0.1199
Re1 0.0000 0.5000 0.6951
Cl1 0.0000 0.0000 0.3563
# Energy above the most stable polymorph in this dataset = 388.1 meV per atom
# Formation energy from raw total energies = 0.488 eV per atom
# Theoretical density = 8.30 Mg/m³

[8]
# GGA-PBE CsTlAgSe2, optimized geometry
data_CsTlAgSe2
_chemical_formula_sum 'Cs4 Tl4 Ag4 Se8'
_cell_length_a 7.1120
_cell_length_b 14.5334
_cell_length_c 6.6585
_cell_angle_alpha 90.00
_cell_angle_beta 90.00
_cell_angle_gamma 90.00
_space_group_name_H-M_alt 'C m m e'
_space_group_IT_number 67
_space_group_name_Hall '-C 2a 2'
loop_
_atom_site_label
_atom_site_fract_x
_atom_site_fract_y
_atom_site_fract_z
Cs1 0.0000 0.2500 0.2433
Tl1 0.2500 0.0000 0.5000
Ag1 0.0000 0.0000 0.0000
Se1 0.0000 0.1242 0.7394
# Formation energy from raw total energies = -0.507 eV per atom
# Theoretical density = 5.82 Mg/m³

> theoretical density of number 3 (Sr2CdBi4Rh3)?

9.10 Mg/m³